Mo2W4Au3C3: optimized geometry, PBE.

As for the space-group type: C2/c, No. 15. The calculation puts the calculated total energy at -9.12 eV per atom.

The structure in POSCAR format:
```
Mo2W4Au3C3
1.0
4.6770 -2.6998 0.0000
4.6770 2.6998 0.0000
-3.1083 0.0000 13.5487
Au C Mo W
6 6 4 8
Direct
0.4155 0.2407 0.2477
0.0746 0.9254 0.2500
0.7593 0.5845 0.2523
0.2407 0.4155 0.7477
0.9254 0.0746 0.7500
0.5845 0.7593 0.7523
0.6701 0.1585 0.0000
0.0000 0.5000 0.0000
0.3299 0.8415 0.0000
0.1585 0.6701 0.5000
0.5000 0.0000 0.5000
0.8415 0.3299 0.5000
0.3682 0.5288 0.0830
0.4712 0.6318 0.4170
0.5288 0.3682 0.5830
0.6318 0.4712 0.9170
0.6947 0.8529 0.0815
0.0196 0.2006 0.0817
0.7994 0.9804 0.4183
0.1471 0.3053 0.4185
0.8529 0.6947 0.5815
0.2006 0.0196 0.5817
0.9804 0.7994 0.9183
0.3053 0.1471 0.9185
```

H2Ir: optimized geometry, PBE.

As for the space-group type: Fd-3m, No. 227. The calculation puts the calculated total energy at -4.15 eV per atom.

The structure in POSCAR format:
```
H2Ir
1.0
-2.7112 0.7747 2.9115
0.0959 3.5419 1.9680
-2.9159 2.7449 -0.6245
H Ir
4 2
Direct
0.6250 0.6250 0.1250
0.6250 0.1250 0.6250
0.1250 0.6250 0.6250
0.6250 0.6250 0.6250
0.0000 0.0000 0.0000
0.2500 0.2500 0.2500
```

PrCdInTe3: optimized geometry, PBE.

As for the space-group type: C2/m, No. 12. The distance to the lowest polymorph of the same formula comes out at 0.078 eV/atom.

The structure in POSCAR format:
```
PrCdInTe3
1.0
-7.1596 2.7524 6.5569
-3.5897 2.0920 9.1960
3.7358 8.4135 -2.9480
Cd In Pr Te
2 2 2 6
Direct
0.4685 0.4685 0.2781
0.5315 0.5315 0.7219
0.1332 0.1332 0.0786
0.8668 0.8668 0.9214
0.8248 0.8248 0.4071
0.1752 0.1752 0.5929
0.5000 0.5000 0.0000
0.3179 0.3179 0.1697
0.6615 0.6615 0.3555
0.0000 0.0000 0.5000
0.3385 0.3385 0.6445
0.6821 0.6821 0.8303
```